No. 1
First-principles (PBE) data for PrSb2 after structural relaxation, as listed in OQMD.

Calculated values
**Total magnetic moment**: 0.7 μB per cell
**Total DFT energy (no corrections)**: -4.6555 eV/atom
**SG**: Fd-3m (227)

abc: 6.321 6.321 6.321
angles: 60.00 60.00 60.00
Site moments in Bohr magnetons follow the coordinates.
Fractional positions:
Pr 0.000 0.000 0.000  0.18
Pr 0.250 0.250 0.250  0.18
Sb 0.625 0.625 0.125  -0.01
Sb 0.625 0.125 0.625  -0.01
Sb 0.125 0.625 0.625  0.00
Sb 0.625 0.625 0.625  -0.01



No. 2
First-principles (PBE) data for AcErIn after structural relaxation, as listed in OQMD.

Calculated values
**Total magnetic moment**: 0.1 μB per cell
**Total DFT energy (no corrections)**: -3.8570 eV/atom
**Energy above the lowest structure with this stoichiometry**: 0.000 eV per atom
**SG**: F-43m (216)

abc: 5.413 5.413 5.413
angles: 60.00 60.00 60.00
Fractional positions:
Ac 0.750 0.750 0.750
Er 0.250 0.250 0.250
In 0.500 0.500 0.500



No. 3
First-principles (PBE) data for Tl2ZnP4H8O16 after structural relaxation, as listed in OQMD.

Calculated values
**Total DFT energy (no corrections)**: -5.9272 eV/atom
**SG**: P-1 (2)

abc: 6.853 7.262 7.614
angles: 80.72 71.26 85.66
Fractional positions:
H 0.744 0.968 0.034
H 0.386 0.170 0.206
H 0.384 0.309 0.352
H 0.915 0.731 0.432
H 0.085 0.269 0.568
H 0.616 0.691 0.648
H 0.614 0.830 0.794
H 0.256 0.032 0.966
O 0.694 0.611 0.113
O 0.237 0.650 0.149
O 0.267 0.999 0.151
O 0.756 0.929 0.172
O 0.457 0.278 0.223
O 0.416 0.767 0.362
O 0.738 0.653 0.426
O 0.044 0.797 0.441
O 0.956 0.203 0.559
O 0.262 0.347 0.574
O 0.584 0.233 0.638
O 0.543 0.722 0.777
O 0.244 0.071 0.828
O 0.733 0.001 0.849
O 0.763 0.350 0.851
O 0.306 0.389 0.887
P 0.235 0.803 0.262
P 0.660 0.734 0.264
P 0.340 0.266 0.736
P 0.765 0.197 0.738
Tl 0.901 0.282 0.202
Tl 0.099 0.718 0.798
Zn 0.500 0.500 0.000



No. 4
First-principles (PBE) data for AcDySb after structural relaxation, as listed in OQMD.

Calculated values
**Total magnetic moment**: 0.0 μB per cell
**Total DFT energy (no corrections)**: -4.0109 eV/atom
**Energy above the lowest structure with this stoichiometry**: 0.737 eV per atom
**SG**: F-43m (216)

abc: 5.534 5.534 5.534
angles: 60.00 60.00 60.00
Fractional positions:
Ac 0.000 0.000 0.000
Dy 0.250 0.250 0.250
Sb 0.750 0.750 0.750